Record 1
# YBe3Rh | Alexandria via LeMat-Bulk | PBE-GGA | optimized geometry
# - Energy: -2.800 eV per atom
# - Formation enthalpy at 0 K: 2.20 eV per atom
# - Theoretical density: 3.82 g/cm3
# - Magnetic moment: 1.32 Bohr magnetons per cell
# - ΔE to the lowest computed polymorph: 12.157 eV per formula unit
data_YBe3Rh
_chemical_formula_sum 'Y1 Be3 Rh1'
_space_group_name_H-M_alt 'P m -3 m'
_space_group_IT_number 221
_space_group_name_Hall '-P 4 2 3'
_cell_length_a 4.5665
_cell_length_b 4.5665
_cell_length_c 4.5665
_cell_angle_alpha 90.00
_cell_angle_beta 90.00
_cell_angle_gamma 90.00
loop_
_atom_site_label
_atom_site_fract_x
_atom_site_fract_y
_atom_site_fract_z
_atom_site_occupancy
Y1 0.0000 0.0000 0.0000 1
Be1 0.0000 0.0000 0.5000 1
Rh1 0.5000 0.5000 0.5000 1

=====

Record 2
# Y2TaMn | Alexandria via LeMat-Bulk | PBE-GGA | optimized geometry
# - Energy: -8.109 eV per atom
# - Formation enthalpy at 0 K: 0.38 eV per atom
# - Theoretical density: 7.44 g/cm3
# - Magnetic moment: 3.55 Bohr magnetons per cell
# - ΔE to the lowest computed polymorph: 0.885 eV per formula unit
data_Y2TaMn
_chemical_formula_sum 'Y6 Ta3 Mn3'
_space_group_name_H-M_alt 'R 3 m'
_space_group_IT_number 160
_space_group_name_Hall 'R 3 -2"'
_cell_length_a 3.3377
_cell_length_b 3.3377
_cell_length_c 28.7261
_cell_angle_alpha 90.00
_cell_angle_beta 90.00
_cell_angle_gamma 120.00
loop_
_atom_site_label
_atom_site_fract_x
_atom_site_fract_y
_atom_site_fract_z
_atom_site_occupancy
Y1 0.0000 0.0000 0.0000 1
Y2 0.0000 0.0000 0.2206 1
Ta1 0.0000 0.0000 0.4633 1
Mn1 0.0000 0.0000 0.7416 1

=====

Record 3
# Ac2La2Sn7 | Alexandria via LeMat-Bulk | PBE-GGA | optimized geometry
# - Energy: -4.399 eV per atom
# - Formation enthalpy at 0 K: -0.21 eV per atom
# - Theoretical density: 6.39 g/cm3
# - Magnetic moment: 0.00 Bohr magnetons per cell
data_Ac2La2Sn7
_chemical_formula_sum 'Ac4 La4 Sn14'
_space_group_name_H-M_alt 'C m m m'
_space_group_IT_number 65
_space_group_name_Hall '-C 2 2'
_cell_length_a 9.3719
_cell_length_b 11.4641
_cell_length_c 7.5612
_cell_angle_alpha 90.00
_cell_angle_beta 90.00
_cell_angle_gamma 90.00
loop_
_atom_site_label
_atom_site_fract_x
_atom_site_fract_y
_atom_site_fract_z
_atom_site_occupancy
Ac1 0.0000 0.2101 0.0000 1
La1 0.1869 0.5000 0.5000 1
Sn1 0.0000 0.0000 0.3118 1
Sn2 0.0000 0.5000 0.0000 1
Sn3 0.2500 0.2500 0.3097 1

=====

Record 4
# Ac2Tb3NdTe6 | Alexandria via LeMat-Bulk | PBE-GGA | optimized geometry
# - Energy: -5.193 eV per atom
# - Theoretical density: 7.83 g/cm3
# - Magnetic moment: 0.00 Bohr magnetons per cell
# - Energy relative to the elements, uncorrected: -16.6 eV/f.u.
data_Ac2Tb3NdTe6
_chemical_formula_sum 'Ac4 Tb6 Nd2 Te12'
_space_group_name_H-M_alt 'C 1 2/m 1'
_space_group_IT_number 12
_cell_length_a 19.8683
_cell_length_b 4.4466
_cell_length_c 9.1780
_cell_angle_alpha 90.00
_cell_angle_beta 105.74
_cell_angle_gamma 90.00
loop_
_space_group_symop_operation_xyz
'x,y,z'
'-x,-y,-z'
'-x,y,-z'
'x,-y,z'
'x+1/2,y+1/2,z'
'-x+1/2,-y+1/2,-z'
'-x+1/2,y+1/2,-z'
'x+1/2,-y+1/2,z'
loop_
_atom_site_label
_atom_site_fract_x
_atom_site_fract_y
_atom_site_fract_z
_atom_site_occupancy
Ac1 0.1646 0.0000 0.3297 1
Tb1 0.0000 0.5000 0.5000 1
Tb2 0.1688 0.0000 0.8350 1
Nd1 0.0000 0.5000 0.0000 1
Te1 0.0073 0.0000 0.7458 1
Te2 0.1617 0.5000 0.5966 1
Te3 0.1680 0.5000 0.0662 1

=====

Record 5
# CsGaTe3 | Alexandria via LeMat-Bulk | PBE-GGA | optimized geometry
# - Energy: -3.164 eV per atom
# - Theoretical density: 4.44 g/cm3
# - Magnetic moment: 0.00 Bohr magnetons per cell
# - Energy relative to the elements, uncorrected: -2.5 eV/f.u.
# - ΔE to the lowest computed polymorph: 0.474 eV per formula unit
data_CsGaTe3
_chemical_formula_sum 'Cs2 Ga2 Te6'
_space_group_name_H-M_alt 'P 1'
_space_group_IT_number 1
_cell_length_a 6.7926
_cell_length_b 7.3342
_cell_length_c 8.8686
_cell_angle_alpha 82.22
_cell_angle_beta 89.80
_cell_angle_gamma 89.92
loop_
_space_group_symop_operation_xyz
'x,y,z'
loop_
_atom_site_label
_atom_site_fract_x
_atom_site_fract_y
_atom_site_fract_z
_atom_site_occupancy
Cs1 0.0000 0.0000 0.0000 1
Cs2 0.4979 0.4239 0.1312 1
Ga1 0.1502 0.4016 0.5821 1
Ga2 0.6513 0.0251 0.5487 1
Te1 0.0060 0.5318 0.8281 1
Te2 0.1599 0.6963 0.3657 1
Te3 0.4254 0.1971 0.7309 1
Te4 0.5094 0.8925 0.3038 1
Te5 0.6588 0.7328 0.7673 1
Te6 0.9257 0.2310 0.3993 1

=====

Record 6
# Y2CoC | Alexandria via LeMat-Bulk | PBE-GGA | optimized geometry
# - Energy: -6.949 eV per atom
# - Formation enthalpy at 0 K: 0.37 eV per atom
# - Theoretical density: 5.06 g/cm3
# - Magnetic moment: 4.00 Bohr magnetons per cell
data_Y2CoC
_chemical_formula_sum 'Y8 Co4 C4'
_space_group_name_H-M_alt 'I -4 2 d'
_space_group_IT_number 122
_space_group_name_Hall 'I -4 2bw'
_cell_length_a 6.7756
_cell_length_b 6.7756
_cell_length_c 7.1075
_cell_angle_alpha 90.00
_cell_angle_beta 90.00
_cell_angle_gamma 90.00
loop_
_atom_site_label
_atom_site_fract_x
_atom_site_fract_y
_atom_site_fract_z
_atom_site_occupancy
Y1 0.1997 0.2500 0.1250 1
Co1 0.0000 0.0000 0.5000 1
C1 0.0000 0.0000 0.0000 1